! TmSnPdRu, relaxed, DFT PBE; values from VASP
! total magnetic moment	0.00	μB per formula unit
! SG	F-43m
&SYSTEM
  ibrav = 0, nat = 4, ntyp = 4
/
ATOMIC_SPECIES
Sn 118.71 Sn.upf
Pd 106.42 Pd.upf
Ru 101.07 Ru.upf
Tm 168.93 Tm.upf
CELL_PARAMETERS angstrom
4.698 0.000 0.000
2.349 4.068 0.000
2.349 1.356 3.836
ATOMIC_POSITIONS crystal
Sn 0.500 0.500 0.500
Pd 0.250 0.250 0.250
Ru 0.750 0.750 0.750
Tm 0.000 0.000 0.000

***

! VSn2PdRu, relaxed, DFT PBE; values from VASP
! total magnetic moment	0.25	μB per formula unit
! SG	P4/mmm
&SYSTEM
  ibrav = 0, nat = 5, ntyp = 4
/
ATOMIC_SPECIES
Sn 118.71 Sn.upf
V 50.94 V.upf
Ru 101.07 Ru.upf
Pd 106.42 Pd.upf
CELL_PARAMETERS angstrom
5.186 0.000 0.000
0.000 4.340 0.000
0.000 0.000 5.186
ATOMIC_POSITIONS crystal
Sn 0.000 0.000 0.500
Sn 0.500 0.000 0.000
V 0.000 0.000 0.000
Ru 0.000 0.500 0.000
Pd 0.500 0.500 0.500

***

no.,formation energy from the elements (meV/atom)
1,-600
2,730